No. 1
# AlCo2

AlCo2 after structural relaxation (PBE, Alexandria via LeMat-Bulk).

Values from the calculation:
ΔE_f (eV per atom): 0.065
Crystal system: hexagonal

Lattice parameters (Å, degrees): 4.8230 4.8230 6.3446 90.00 90.00 120.00
Space group P6/mmm (No. 191)
Symmetry-distinct sites (fractional):
Al1 0.0000 0.0000 0.0000 (multiplicity 1)
Al2 0.3333 0.6667 0.5000 (multiplicity 2)
Co1 0.0000 0.5000 0.1764 (multiplicity 6)

No. 2
# Ca2ZnGa12

Ca2ZnGa12 after structural relaxation (PBE, Alexandria via LeMat-Bulk).

Values from the calculation:
ΔE_f (eV per atom): -0.242
Crystal system: tetragonal

Lattice parameters (Å, degrees): 6.233 6.233 15.480 90.00 90.00 90.00
Space group P4/nbm (No. 125, origin choice 2)
Symmetry-distinct sites (fractional):
Ca1 0.250 0.750 0.248 (multiplicity 4)
Zn1 0.250 0.750 0.000 (multiplicity 2)
Ga1 0.000 0.000 0.090 (multiplicity 8)
Ga2 0.077 0.577 0.431 (multiplicity 8)
Ga3 0.250 0.250 0.184 (multiplicity 4)
Ga4 0.250 0.250 0.346 (multiplicity 4)

No. 3
# TiCrOsW2

TiCrOsW2 after structural relaxation (PBE, Alexandria via LeMat-Bulk).

Values from the calculation:
ΔE_f (eV per atom): 1.574
Crystal system: tetragonal

Lattice parameters (Å, degrees): 4.783 4.783 4.449 90.00 90.00 90.00
Space group P4/mmm (No. 123)
Symmetry-distinct sites (fractional):
Ti1 0.000 0.000 0.000 (multiplicity 1)
Cr1 0.500 0.500 0.000 (multiplicity 1)
Os1 0.500 0.500 0.500 (multiplicity 1)
W1 0.000 0.500 0.500 (multiplicity 2)

No. 4
# GeSbPd3

GeSbPd3 after structural relaxation (PBE, Alexandria via LeMat-Bulk).

Values from the calculation:
Polymorph energy (0 for the lowest one) (eV per atom): 0.000
Formation energy without anion corrections (eV per atom): -0.400
Crystal system: monoclinic

Lattice parameters (Å, degrees): 11.312 10.076 6.685 90.00 92.26 90.00
Space group C2/c (No. 15)
Symmetry-distinct sites (fractional):
Ge1 0.000 0.117 0.250 (multiplicity 4)
Ge2 0.000 0.298 0.750 (multiplicity 4)
Sb1 0.178 0.396 0.248 (multiplicity 8)
Pd1 0.095 0.086 0.593 (multiplicity 8)
Pd2 0.141 0.189 0.998 (multiplicity 8)
Pd3 0.202 0.351 0.642 (multiplicity 8)

No. 5
# Y3Tm2Sc2

Y3Tm2Sc2 after structural relaxation (PBE, Alexandria via LeMat-Bulk).

Values from the calculation:
ΔE_f (eV per atom): 0.138
Polymorph energy (0 for the lowest one) (eV per atom): 0.000
Crystal system: monoclinic

Lattice parameters (Å, degrees): 16.901 3.398 8.321 90.00 119.15 90.00
Space group C2/m (No. 12)
Symmetry-distinct sites (fractional):
Y1 0.000 0.000 0.000 (multiplicity 2)
Y2 0.213 0.000 0.302 (multiplicity 4)
Tm1 0.141 0.000 0.813 (multiplicity 4)
Sc1 0.064 0.500 0.412 (multiplicity 4)

No. 6
# Dy4Al2In

Dy4Al2In after structural relaxation (PBE, Alexandria via LeMat-Bulk).

Values from the calculation:
ΔE_f (eV per atom): -0.105
Polymorph energy (0 for the lowest one) (eV per atom): 0.155
Crystal system: trigonal

Lattice parameters (Å, degrees): 5.0526 5.0526 27.5912 90.00 90.00 120.00
Space group R-3m (No. 166, hexagonal axes)
Symmetry-distinct sites (fractional):
Dy1 0.0000 0.0000 0.1184 (multiplicity 6)
Dy2 0.0000 0.0000 0.2963 (multiplicity 6)
Al1 0.0000 0.0000 0.4036 (multiplicity 6)
In1 0.0000 0.0000 0.5000 (multiplicity 3)